Here is a crystal of LaYCu2 relaxed with PBEsol from the Alexandria database. Energies are from meta-GGA SCAN.

Cell: 7.018 7.018 7.018 Å, 90.00 90.00 90.00°
Space group Fm-3m (No. 225)
One atom of each set of equivalent atoms:
1 La 0.000 0.000 0.000 x4
2 Y 0.000 0.000 0.500 x4
3 Cu 0.250 0.250 0.250 x8

Calculated values
The calculation puts the excess energy over the best structure of this formula in the dataset at 27 meV per atom. The formation energy is -0.202 eV/atom.